Here is an optimized crystal structure of Li2La2SmIn2 from Alexandria. Energies are from PBE.

For the raw total energy, the calculation gives -77.499 eV per cell. The value obtained for the formation enthalpy at 0 K is -0.279 eV/atom.

The structure belongs to space group R-3m (No. 166, hexagonal axes); the cell edges are 4.9372, 4.9372 and 26.8512 Å and the angles 90.00°, 90.00° and 120.00°. The asymmetric unit holds Li at (0.0000, 0.0000, 0.1067), La at (0.0000, 0.0000, 0.3675), Sm at (0.0000, 0.0000, 0.5000) and In at (0.0000, 0.0000, 0.2332).

Here is an optimized crystal structure of Ca2Zr2Br from Alexandria. Energies are from PBE.

For the raw total energy, the calculation gives -38.115 eV per cell. The distance to the lowest polymorph of the same formula is 428.7 meV/atom. The calculation puts the formation energy without anion corrections at 0.743 eV/atom.

The structure belongs to space group I4/mmm (No. 139); the cell edges are 4.544, 4.544 and 15.498 Å and the angles 90.00°, 90.00° and 90.00°. The asymmetric unit holds Ca at (0.000, 0.500, 0.250), Zr at (0.000, 0.000, 0.077) and Br at (0.000, 0.000, 0.500).

Here is an optimized crystal structure of GeRuSe2Br from Alexandria. Energies are from PBE.

For the raw total energy, the calculation gives -20.534 eV per cell. The distance to the lowest polymorph of the same formula is 0.0 meV/atom. The calculation puts the formation energy without anion corrections at 0.400 eV/atom.

The structure belongs to space group P4/mmm (No. 123); the cell edges are 4.850, 4.850 and 5.113 Å and the angles 90.00°, 90.00° and 90.00°. The asymmetric unit holds Ge at (0.000, 0.000, 0.000), Ru at (0.500, 0.500, 0.500), Se at (0.000, 0.500, 0.500) and Br at (0.500, 0.500, 0.000).

Here is an optimized crystal structure of Pm7SnN2 from Alexandria. Energies are from PBE.

For the raw total energy, the calculation gives -168.400 eV per cell. The calculation puts the formation energy without anion corrections at -0.223 eV/atom.

The structure belongs to space group R-3m (No. 166, hexagonal axes); the cell edges are 5.2310, 5.2310 and 35.1923 Å and the angles 90.00°, 90.00° and 120.00°. The asymmetric unit holds Pm at (0.0000, 0.0000, 0.0000), Pm at (0.0000, 0.0000, 0.1329), Pm at (0.0000, 0.0000, 0.3025), Pm at (0.0000, 0.0000, 0.4060), Sn at (0.0000, 0.0000, 0.5000) and N at (0.0000, 0.0000, 0.0698).

Magnetic moment (computed, μB per formula unit): 0.0, 0.0, 0.0, 0.0
Calculated volume (computed, Å³/atom): 27.0, 32.0, 24.1, 27.8
Mass density (computed, g/cm3): 5.90, 3.55, 5.68, 6.94